Arrangement 1

An optimized crystal structure of MgCuAu3. Source: Alexandria via LeMat-Bulk, functional PBE-GGA.

Unit cell a=4.7870 b=4.7985 c=7.8826 alpha=72.37 beta=86.04 gamma=76.55
Closest atoms and distances in Å follow each position.
Fractional coordinates of all 10 atoms:
Mg  0.2502  0.1528  0.1952  8 Au 2.79-2.82, 3 Cu 2.97-3.00
Mg  0.7498  0.8472  0.8048  8 Au 2.79-2.82, 3 Cu 2.97-3.00
Cu  0.2502  0.3520  0.7956  9 Au 2.76-3.05, 3 Mg 2.97-3.00
Cu  0.7498  0.6480  0.2044  9 Au 2.76-3.05, 3 Mg 2.97-3.00
Au  0.2494  0.7487  0.0020  4 Mg 2.80-2.82, 4 Cu 2.84-2.86, 4 Au 2.91-2.97
Au  0.2497  0.9425  0.6146  2 Cu 2.76, 2 Mg 2.79, 7 Au 2.91-2.97
Au  0.2507  0.5565  0.3890  3 Cu 2.76-3.05, 2 Mg 2.81, 7 Au 2.91-2.97
Au  0.7493  0.4435  0.6110  3 Cu 2.76-3.05, 2 Mg 2.81, 7 Au 2.91-2.97
Au  0.7503  0.0575  0.3854  2 Cu 2.76, 2 Mg 2.79, 7 Au 2.91-2.97
Au  0.7506  0.2513  0.9980  4 Mg 2.80-2.82, 4 Cu 2.84-2.86, 4 Au 2.91-2.97

M_tot = 0.00 μB per formula unit
Calculated volume = 16.8 A^3/atom

***

Arrangement 2

An optimized crystal structure of MgCuAu3. Source: Alexandria via LeMat-Bulk, functional PBE-GGA.

Unit cell a=4.1418 b=6.9002 c=6.2307 alpha=90.00 beta=90.00 gamma=90.00
Closest atoms and distances in Å follow each position.
Fractional coordinates of all 10 atoms:
Mg  0.2500  0.2500  0.2340  2 Cu 2.74, 6 Au 2.77-2.90
Mg  0.7500  0.7500  0.7660  2 Cu 2.74, 6 Au 2.77-2.90
Cu  0.2500  0.7500  0.0531  7 Au 2.59-2.71, 2 Mg 2.74
Cu  0.7500  0.2500  0.9469  7 Au 2.59-2.71, 2 Mg 2.74
Au  0.2500  0.0429  0.7863  3 Cu 2.62-2.71, 2 Au 2.82-2.86, 2 Mg 2.90
Au  0.2500  0.4571  0.7863  3 Cu 2.62-2.71, 2 Au 2.82-2.86, 2 Mg 2.90
Au  0.2500  0.7500  0.4696  1 Cu 2.59, 2 Mg 2.77, 2 Au 2.82
Au  0.7500  0.2500  0.5304  1 Cu 2.59, 2 Mg 2.77, 2 Au 2.82
Au  0.7500  0.5429  0.2137  3 Cu 2.62-2.71, 2 Au 2.82-2.86, 2 Mg 2.90
Au  0.7500  0.9571  0.2137  3 Cu 2.62-2.71, 2 Au 2.82-2.86, 2 Mg 2.90

M_tot = 0.00 μB per formula unit
Calculated volume = 17.8 A^3/atom

***

Referenced to the most stable arrangement, the calculated values in eV/atom are arrangement 1 0.000; arrangement 2 0.060.

***

Arrangement 1

An optimized crystal structure of MgCuPtAu. Source: Alexandria via LeMat-Bulk, functional PBE-GGA.

Unit cell a=4.4510 b=4.4510 c=4.4510 alpha=60.00 beta=60.00 gamma=60.00
Closest atoms and distances in Å follow each position.
Fractional coordinates of all 4 atoms:
Mg  0.0000  0.0000  0.0000  4 Pt 2.73, 4 Au 2.73
Cu  0.5000  0.5000  0.5000  4 Pt 2.73, 4 Au 2.73
Pt  0.7500  0.7500  0.7500  4 Cu 2.73, 4 Mg 2.73
Au  0.2500  0.2500  0.2500  4 Cu 2.73, 4 Mg 2.73

M_tot = 0.00 μB per formula unit
Calculated volume = 15.6 A^3/atom

***

Arrangement 2

An optimized crystal structure of MgCuPtAu. Source: Alexandria via LeMat-Bulk, functional PBE-GGA.

Unit cell a=3.7896 b=4.0092 c=4.0564 alpha=90.00 beta=90.00 gamma=90.00
Closest atoms and distances in Å follow each position.
Fractional coordinates of all 4 atoms:
Mg  0.0000  0.0000  0.0000  4 Pt 2.76, 4 Au 2.78, 4 Cu 2.85
Cu  0.0000  0.5000  0.5000  4 Au 2.76, 4 Pt 2.78, 4 Mg 2.85
Pt  0.5000  0.5000  0.0000  4 Mg 2.76, 4 Cu 2.78, 4 Au 2.85
Au  0.5000  0.0000  0.5000  4 Cu 2.76, 4 Mg 2.78, 4 Pt 2.85

M_tot = 0.00 μB per formula unit
Calculated volume = 15.4 A^3/atom

***

Referenced to the most stable arrangement, the calculated values in eV/atom are arrangement 1 0.068; arrangement 2 0.000.

***

Arrangement 1

An optimized crystal structure of Mn2Cu3Au8. Source: Alexandria via LeMat-Bulk, functional PBE-GGA.

Unit cell a=7.0853 b=7.0853 c=4.6791 alpha=101.79 beta=101.79 gamma=81.94
Closest atoms and distances in Å follow each position.
Fractional coordinates of all 13 atoms:
Mn  0.2048  0.2048  0.3619  9 Au 2.63-2.89
Mn  0.7952  0.7952  0.6381  9 Au 2.63-2.89
Cu  0.2529  0.7471  0.0000  8 Au 2.72-2.79
Cu  0.5000  0.5000  0.5000  8 Au 2.62-2.87
Cu  0.7471  0.2529  0.0000  8 Au 2.72-2.79
Au  0.0736  0.0736  0.7977  3 Mn 2.63-2.87, 2 Cu 2.73, 5 Au 2.77-2.92
Au  0.1243  0.5940  0.4034  3 Cu 2.62-2.79, 2 Mn 2.71-2.85, 3 Au 2.74-2.90
Au  0.3562  0.3562  0.9360  4 Cu 2.67-2.87, 2 Mn 2.74-2.89, 2 Au 2.92-2.97
Au  0.4060  0.8757  0.5966  3 Cu 2.62-2.79, 2 Mn 2.71-2.85, 3 Au 2.74-2.90
Au  0.5940  0.1243  0.4034  3 Cu 2.62-2.79, 2 Mn 2.71-2.85, 3 Au 2.74-2.90
Au  0.6438  0.6438  0.0640  4 Cu 2.67-2.87, 2 Mn 2.74-2.89, 2 Au 2.92-2.97
Au  0.8757  0.4060  0.5966  3 Cu 2.62-2.79, 2 Mn 2.71-2.85, 3 Au 2.74-2.90
Au  0.9264  0.9264  0.2023  3 Mn 2.63-2.87, 2 Cu 2.73, 5 Au 2.77-2.92

M_tot = 8.43 μB per formula unit
Calculated volume = 17.2 A^3/atom

***

Arrangement 2

An optimized crystal structure of Mn2Cu3Au8. Source: Alexandria via LeMat-Bulk, functional PBE-GGA.

Unit cell a=7.3718 b=7.3718 c=4.4782 alpha=90.06 beta=90.06 gamma=74.28
Closest atoms and distances in Å follow each position.
Fractional coordinates of all 13 atoms:
Mn  0.2477  0.2477  0.0009  8 Au 2.64-2.71, 1 Cu 2.91
Mn  0.7523  0.7523  0.9991  8 Au 2.64-2.71, 1 Cu 2.91
Cu  0.0000  0.0000  0.0000  8 Au 2.69-2.71, 2 Mn 2.91
Cu  0.2491  0.7509  0.5000  8 Au 2.66-2.67
Cu  0.7509  0.2491  0.5000  8 Au 2.66-2.67
Au  0.1272  0.1272  0.5005  2 Mn 2.65, 4 Cu 2.67-2.69, 1 Au 2.93
Au  0.1327  0.6193  0.9997  2 Mn 2.64-2.71, 3 Cu 2.67-2.71, 1 Au 2.91
Au  0.3767  0.3767  0.5012  2 Cu 2.66, 2 Mn 2.70, 2 Au 2.90-2.93
Au  0.3807  0.8673  0.0003  2 Mn 2.64-2.71, 3 Cu 2.67-2.71, 1 Au 2.91
Au  0.6193  0.1327  0.9997  2 Mn 2.64-2.71, 3 Cu 2.67-2.71, 1 Au 2.91
Au  0.6233  0.6233  0.4988  2 Cu 2.66, 2 Mn 2.70, 2 Au 2.90-2.93
Au  0.8673  0.3807  0.0003  2 Mn 2.64-2.71, 3 Cu 2.67-2.71, 1 Au 2.91
Au  0.8728  0.8728  0.4995  2 Mn 2.65, 4 Cu 2.67-2.69, 1 Au 2.93

M_tot = 8.28 μB per formula unit
Calculated volume = 18.0 A^3/atom

***

Referenced to the most stable arrangement, the calculated values in eV/atom are arrangement 1 0.000; arrangement 2 0.032.

***

Arrangement 1

An optimized crystal structure of MnCu2Au4. Source: Alexandria via LeMat-Bulk, functional PBE-GGA.

Unit cell a=6.8988 b=6.0936 c=5.0861 alpha=75.61 beta=58.82 gamma=45.57
Closest atoms and distances in Å follow each position.
Fractional coordinates of all 7 atoms:
Mn  0.0000  0.0000  0.0000  4 Au 2.54
Cu  0.3797  0.3797  0.6203  1 Cu 2.61, 8 Au 2.86-2.91
Cu  0.6203  0.6203  0.3797  1 Cu 2.61, 8 Au 2.86-2.91
Au  0.0000  0.0000  0.5000  2 Mn 2.54, 4 Au 2.71-2.78
Au  0.2500  0.2500  0.2500  4 Au 2.71-2.78, 4 Cu 2.91
Au  0.5000  0.5000  0.0000  2 Mn 2.54, 4 Au 2.71-2.78
Au  0.7500  0.7500  0.7500  4 Au 2.71-2.78, 4 Cu 2.91

M_tot = 4.58 μB per formula unit
Calculated volume = 18.3 A^3/atom

***

Arrangement 2

An optimized crystal structure of MnCu2Au4. Source: Alexandria via LeMat-Bulk, functional PBE-GGA.

Unit cell a=5.4187 b=5.4187 c=5.4187 alpha=114.06 beta=114.06 gamma=100.64
Closest atoms and distances in Å follow each position.
Fractional coordinates of all 7 atoms:
Mn  0.0000  0.0000  0.0000  8 Au 2.71, 4 Cu 2.95
Cu  0.0000  0.5000  0.5000  8 Au 2.71, 2 Mn 2.95
Cu  0.5000  0.0000  0.5000  8 Au 2.71, 2 Mn 2.95
Au  0.0000  0.0000  0.5000  2 Mn 2.71, 4 Cu 2.71, 4 Au 2.95
Au  0.0000  0.5000  0.0000  2 Mn 2.71, 4 Cu 2.71, 4 Au 2.95
Au  0.5000  0.0000  0.0000  2 Mn 2.71, 4 Cu 2.71, 4 Au 2.95
Au  0.5000  0.5000  0.5000  2 Mn 2.71, 4 Cu 2.71, 4 Au 2.95

M_tot = 4.57 μB per formula unit
Calculated volume = 17.2 A^3/atom

***

Referenced to the most stable arrangement, the calculated values in eV/atom are arrangement 1 0.203; arrangement 2 0.000.

***

Arrangement 1

An optimized crystal structure of MnCu4Au3. Source: Alexandria via LeMat-Bulk, functional PBE-GGA.

Unit cell a=9.1051 b=9.1051 c=4.7085 alpha=104.98 beta=104.98 gamma=18.55
Closest atoms and distances in Å follow each position.
Fractional coordinates of all 8 atoms:
Mn  0.0000  0.0000  0.0000  6 Cu 2.65-2.68, 4 Au 2.77, 2 Mn 2.93
Cu  0.1230  0.1230  0.7794  1 Mn 2.68, 5 Au 2.69-2.75, 6 Cu 2.70-2.93
Cu  0.3782  0.3782  0.7400  2 Mn 2.65, 6 Cu 2.70-2.93, 4 Au 2.71-2.78
Cu  0.6218  0.6218  0.2600  2 Mn 2.65, 6 Cu 2.70-2.93, 4 Au 2.71-2.78
Cu  0.8770  0.8770  0.2206  1 Mn 2.68, 5 Au 2.69-2.75, 6 Cu 2.70-2.93
Au  0.2511  0.2511  0.2519  6 Cu 2.73-2.78, 6 Au 2.77-2.93
Au  0.5000  0.5000  0.5000  6 Cu 2.69-2.71, 4 Mn 2.77, 2 Au 2.93
Au  0.7489  0.7489  0.7481  6 Cu 2.73-2.78, 6 Au 2.77-2.93

M_tot = 4.15 μB per formula unit
Calculated volume = 15.0 A^3/atom

***

Arrangement 2

An optimized crystal structure of MnCu4Au3. Source: Alexandria via LeMat-Bulk, functional PBE-GGA.

Unit cell a=8.9190 b=5.7010 c=4.6285 alpha=90.00 beta=90.00 gamma=90.00
Closest atoms and distances in Å follow each position.
Fractional coordinates of all 16 atoms:
Mn  0.0000  0.0000  0.0000  8 Cu 2.70, 4 Au 2.77-2.85
Mn  0.5000  0.0000  0.0000  8 Cu 2.70, 4 Au 2.77-2.85
Cu  0.0000  0.2427  0.5000  2 Mn 2.70, 6 Au 2.71-2.74, 4 Cu 2.77-2.93
Cu  0.0000  0.7573  0.5000  2 Mn 2.70, 6 Au 2.71-2.74, 4 Cu 2.77-2.93
Cu  0.2500  0.2431  0.1400  6 Au 2.65-2.83, 2 Mn 2.70, 4 Cu 2.77-2.93
Cu  0.2500  0.7569  0.1400  6 Au 2.65-2.83, 2 Mn 2.70, 4 Cu 2.77-2.93
Cu  0.5000  0.2427  0.5000  2 Mn 2.70, 6 Au 2.71-2.74, 4 Cu 2.77-2.93
Cu  0.5000  0.7573  0.5000  2 Mn 2.70, 6 Au 2.71-2.74, 4 Cu 2.77-2.93
Cu  0.7500  0.2431  0.8600  6 Au 2.65-2.83, 2 Mn 2.70, 4 Cu 2.77-2.93
Cu  0.7500  0.7569  0.8600  6 Au 2.65-2.83, 2 Mn 2.70, 4 Cu 2.77-2.93
Au  0.0000  0.5000  0.0000  8 Cu 2.74-2.75, 2 Au 2.85, 2 Mn 2.85
Au  0.2500  0.0000  0.6433  8 Cu 2.68-2.71, 2 Mn 2.77, 2 Au 2.85
Au  0.2500  0.5000  0.6175  8 Cu 2.65-2.83, 4 Au 2.85
Au  0.5000  0.5000  0.0000  8 Cu 2.74-2.75, 2 Au 2.85, 2 Mn 2.85
Au  0.7500  0.0000  0.3567  8 Cu 2.68-2.71, 2 Mn 2.77, 2 Au 2.85
Au  0.7500  0.5000  0.3825  8 Cu 2.65-2.83, 4 Au 2.85

M_tot = 4.20 μB per formula unit
Calculated volume = 14.7 A^3/atom

***

Referenced to the most stable arrangement, the calculated values in eV/atom are arrangement 1 0.062; arrangement 2 0.000.